Tl4SiS4, PBEsol geometry, DFT meta-GGA SCAN; formation energy from raw total energies = -0.601 eV per atom; total moment = 0.00 μB/f.u.; volume = 26.1 Å³ per atom
1.0
6.1992 -5.5297 0.0000
6.1992 5.5297 0.0000
-2.9307 0.0000 6.8523
Tl Si S
8 2 8
Direct
0.0024 0.9976 0.5000
0.1851 0.4146 0.4038
0.3799 0.8039 0.4664
0.4146 0.1851 0.9038
0.5386 0.7943 0.9871
0.7943 0.5386 0.4871
0.8039 0.3799 0.9664
0.9976 0.0024 0.0000
0.1697 0.5860 0.9457
0.5860 0.1697 0.4457
0.0106 0.7015 0.1293
0.0649 0.3533 0.7573
0.1791 0.7391 0.7649
0.3533 0.0649 0.2573
0.4173 0.5388 0.1179
0.5388 0.4173 0.6179
0.7015 0.0106 0.6293
0.7391 0.1791 0.2649